A plane-wave DFT calculation with meta-GGA SCAN was carried out for a PBEsol-optimized structure of CrRu2.

## Properties
- Formation energy from the elements: 0.06 eV per atom
- Density: 11.10 Mg/m³
- DOS at the Fermi energy: 0.884 states/eV/atom
- SG: Cm, No. 8
- Crystal system: monoclinic

The structure in extended XYZ format:
```
6
Lattice="2.652 0.000 0.000 -1.326 4.762 0.003 0.000 -1.453 6.022" Properties=species:S:1:pos:R:3 pbc="T T T"
Ru 1.326 0.703 5.721
Ru 0.000 2.215 4.037
Ru 0.000 -0.337 3.661
Ru 0.000 3.312 1.662
Cr 1.326 1.110 1.982
Cr 1.326 4.753 0.009
```



A plane-wave DFT calculation with meta-GGA SCAN was carried out for a PBEsol-optimized structure of RbCd2H.

## Properties
- E: -21.012 eV per atom
- Density: 4.92 Mg/m³
- DOS at the Fermi energy: 0.341 states/eV/atom
- SG: Fd-3m, No. 227
- Crystal system: cubic

The structure in extended XYZ format:
```
8
Lattice="6.673 0.000 0.000 3.337 5.779 0.000 3.337 1.926 5.449" Properties=species:S:1:pos:R:3 pbc="T T T"
H 3.337 1.926 1.362
H 0.000 0.000 0.000
Rb 10.010 5.779 4.087
Rb 6.673 3.853 2.724
Cd 3.337 3.853 0.681
Cd 3.337 1.926 3.406
Cd 5.005 0.963 0.681
Cd 1.668 0.963 0.681
```



A plane-wave DFT calculation with meta-GGA SCAN was carried out for a PBEsol-optimized structure of Na6V2PC4O16.

## Properties
- Raw formation energy: -2.0314 eV/atom
- Density: 2.87 Mg/m³
- DOS at the Fermi energy: 0.537 states/eV/atom
- SG: Fd-3, No. 203
- Crystal system: cubic

The structure in extended XYZ format:
```
58
Lattice="-3.412 -7.892 4.691 5.780 -4.877 6.223 -1.736 0.398 9.631" Properties=species:S:1:pos:R:3 pbc="T T T"
O -0.631 -5.984 12.595
O -1.260 -8.495 13.763
O -0.333 -2.187 6.303
O -0.324 -8.481 11.081
O -0.582 -8.085 8.888
O -1.011 -5.305 8.325
O 0.678 -4.018 9.048
O 1.617 -3.556 5.418
O 2.061 -11.041 14.567
O -1.244 -0.508 8.465
O 1.802 -10.160 17.356
O 1.114 -6.983 14.600
O -1.390 -7.644 15.835
O -0.768 -4.338 5.021
O 0.117 -2.290 3.803
O 0.041 -0.803 1.333
O -1.271 -4.424 11.114
O 2.051 -6.969 11.919
O -1.993 -9.772 15.456
O -2.485 -6.646 4.807
O -0.321 -9.567 17.779
O 2.789 -8.295 15.314
O 1.372 -7.379 16.793
O 0.807 -4.384 11.959
O 1.422 -9.481 13.087
O 0.112 -11.447 16.633
O -0.017 -11.081 13.723
O 2.783 -5.693 10.225
O 4.321 -4.414 5.941
O 1.111 -5.898 7.903
O -1.998 -7.169 10.368
O 2.181 -7.821 9.847
C 2.330 -6.825 10.662
C 0.260 -5.078 8.433
C -0.963 -7.905 10.113
C -1.540 -8.639 15.019
C 0.531 -10.387 17.249
C 1.153 -10.529 13.799
C -0.362 -4.935 11.883
C 1.753 -7.560 15.568
Na -1.381 -3.797 2.832
Na 1.005 -5.811 5.401
Na 2.505 -5.184 13.550
Na -2.098 -3.633 6.808
Na 3.524 -5.418 7.895
Na 1.521 -10.051 10.649
Na 1.697 -2.389 7.441
Na -0.889 -2.320 9.896
Na 2.414 -2.553 3.464
Na -2.892 -6.954 12.650
Na -1.873 -7.187 6.995
Na -0.689 -0.375 4.871
V 1.263 -7.931 8.025
V 2.101 -3.786 10.495
V -2.495 -5.294 9.729
V 0.395 -7.732 12.841
P 0.158 -3.093 5.136
P 0.000 0.000 0.000
```



A plane-wave DFT calculation with meta-GGA SCAN was carried out for a PBEsol-optimized structure of ZrAlBr2.

## Properties
- Raw formation energy: 0.0378 eV/atom
- Density: 5.33 Mg/m³
- DOS at the Fermi energy: 0.588 states/eV/atom
- SG: P4/mmm, No. 123
- Energy relative to the lowest polymorph listed for this composition: 0.641 eV/atom
- Crystal system: tetragonal

The structure in extended XYZ format:
```
4
Lattice="4.411 0.000 0.000 0.000 4.411 0.000 0.000 0.000 4.453" Properties=species:S:1:pos:R:3 pbc="T T T"
Br 2.206 0.000 0.000
Br 0.000 2.206 0.000
Zr 2.206 2.206 2.227
Al 0.000 0.000 2.227
```